1.
# RbSr2S (PBE, optimized geometry)
data_RbSr2S
_symmetry_space_group_name_H-M 'I -4 2 d'
_symmetry_Int_Tables_number 122
_symmetry_space_group_name_Hall 'I -4 2bw'
_cell_length_a 9.0673
_cell_length_b 9.0673
_cell_length_c 12.7414
_cell_angle_alpha 90.00
_cell_angle_beta 90.00
_cell_angle_gamma 90.00
loop_
_atom_site_label
_atom_site_type_symbol
_atom_site_fract_x
_atom_site_fract_y
_atom_site_fract_z
Rb1 Rb 0.0000 0.0000 0.0000
Sr1 Sr 0.0557 0.2500 0.6250
S1 S 0.0000 0.0000 0.5000
# Fermi-level density of states ... 0.819 states/eV/atom
# Formation energy (no corrections) ... -0.72 eV/atom
# E ... -11.3 eV per formula unit



2.
# Rb2Sr2S (PBE, optimized geometry)
data_Rb2Sr2S
_symmetry_space_group_name_H-M 'P 4/m b m'
_symmetry_Int_Tables_number 127
_symmetry_space_group_name_Hall '-P 4 2ab'
_cell_length_a 8.1757
_cell_length_b 8.1757
_cell_length_c 8.4530
_cell_angle_alpha 90.00
_cell_angle_beta 90.00
_cell_angle_gamma 90.00
loop_
_atom_site_label
_atom_site_type_symbol
_atom_site_fract_x
_atom_site_fract_y
_atom_site_fract_z
Rb1 Rb 0.1787 0.3213 0.0000
Sr1 Sr 0.1961 0.6961 0.5000
S1 S 0.0000 0.0000 0.5000
# Fermi-level density of states ... 0.659 states/eV/atom
# Formation energy (no corrections) ... -0.53 eV/atom
# E ... -12.1 eV per formula unit



3.
# Rb3SrS (PBE, optimized geometry)
data_Rb3SrS
_symmetry_space_group_name_H-M 'P m -3 m'
_symmetry_Int_Tables_number 221
_symmetry_space_group_name_Hall '-P 4 2 3'
_cell_length_a 7.7499
_cell_length_b 7.7499
_cell_length_c 7.7499
_cell_angle_alpha 90.00
_cell_angle_beta 90.00
_cell_angle_gamma 90.00
loop_
_atom_site_label
_atom_site_type_symbol
_atom_site_fract_x
_atom_site_fract_y
_atom_site_fract_z
Rb1 Rb 0.0000 0.0000 0.5000
Sr1 Sr 0.0000 0.0000 0.0000
S1 S 0.5000 0.5000 0.5000
# Fermi-level density of states ... 2.028 states/eV/atom
# E above lowest polymorph ... 962 meV per atom
# Formation energy (no corrections) ... 0.62 eV/atom
# E ... -5.6 eV per formula unit



4.
# RbSrS2 (PBE, optimized geometry)
data_RbSrS2
_symmetry_space_group_name_H-M 'F m -3 m'
_symmetry_Int_Tables_number 225
_symmetry_space_group_name_Hall '-F 4 2 3'
_cell_length_a 7.5829
_cell_length_b 7.5829
_cell_length_c 7.5829
_cell_angle_alpha 90.00
_cell_angle_beta 90.00
_cell_angle_gamma 90.00
loop_
_atom_site_label
_atom_site_type_symbol
_atom_site_fract_x
_atom_site_fract_y
_atom_site_fract_z
Rb1 Rb 0.0000 0.0000 0.0000
Sr1 Sr 0.0000 0.0000 0.5000
S1 S 0.2500 0.2500 0.2500
# Fermi-level density of states ... 1.046 states/eV/atom
# Formation energy (no corrections) ... -1.10 eV/atom
# E ... -15.3 eV per formula unit



5.
# RbSrS3 (PBE, optimized geometry)
data_RbSrS3
_symmetry_space_group_name_H-M 'P m -3 m'
_symmetry_Int_Tables_number 221
_symmetry_space_group_name_Hall '-P 4 2 3'
_cell_length_a 5.7176
_cell_length_b 5.7176
_cell_length_c 5.7176
_cell_angle_alpha 90.00
_cell_angle_beta 90.00
_cell_angle_gamma 90.00
loop_
_atom_site_label
_atom_site_type_symbol
_atom_site_fract_x
_atom_site_fract_y
_atom_site_fract_z
Rb1 Rb 0.0000 0.0000 0.0000
Sr1 Sr 0.5000 0.5000 0.5000
S1 S 0.0000 0.5000 0.5000
# Fermi-level density of states ... 0.487 states/eV/atom
# E above lowest polymorph ... 0 meV per atom
# Formation energy (no corrections) ... -0.49 eV/atom
# E ... -17.5 eV per formula unit



6.
# RbSrS3 (PBE, optimized geometry)
data_RbSrS3
_symmetry_space_group_name_H-M 'P m -3 m'
_symmetry_Int_Tables_number 221
_symmetry_space_group_name_Hall '-P 4 2 3'
_cell_length_a 5.4170
_cell_length_b 5.4170
_cell_length_c 5.4170
_cell_angle_alpha 90.00
_cell_angle_beta 90.00
_cell_angle_gamma 90.00
loop_
_atom_site_label
_atom_site_type_symbol
_atom_site_fract_x
_atom_site_fract_y
_atom_site_fract_z
Rb1 Rb 0.0000 0.0000 0.0000
Sr1 Sr 0.5000 0.5000 0.5000
S1 S 0.0000 0.0000 0.5000
# Fermi-level density of states ... 1.195 states/eV/atom
# E above lowest polymorph ... 613 meV per atom
# Formation energy (no corrections) ... 0.12 eV/atom
# E ... -14.4 eV per formula unit



7.
# RbSrS2 (PBE, optimized geometry)
data_RbSrS2
_symmetry_space_group_name_H-M 'I -4 2 d'
_symmetry_Int_Tables_number 122
_symmetry_space_group_name_Hall 'I -4 2bw'
_cell_length_a 6.7733
_cell_length_b 6.7733
_cell_length_c 15.4980
_cell_angle_alpha 90.00
_cell_angle_beta 90.00
_cell_angle_gamma 90.00
loop_
_atom_site_label
_atom_site_type_symbol
_atom_site_fract_x
_atom_site_fract_y
_atom_site_fract_z
Rb1 Rb 0.0000 0.0000 0.0000
Sr1 Sr 0.0000 0.0000 0.5000
S1 S 0.1872 0.2500 0.6250
# Fermi-level density of states ... 0.028 states/eV/atom
# Formation energy (no corrections) ... -1.05 eV/atom
# E ... -15.1 eV per formula unit



8.
# Rb2SrS (PBE, optimized geometry)
data_Rb2SrS
_symmetry_space_group_name_H-M 'I -4 2 d'
_symmetry_Int_Tables_number 122
_symmetry_space_group_name_Hall 'I -4 2bw'
_cell_length_a 12.7076
_cell_length_b 12.7076
_cell_length_c 5.7025
_cell_angle_alpha 90.00
_cell_angle_beta 90.00
_cell_angle_gamma 90.00
loop_
_atom_site_label
_atom_site_type_symbol
_atom_site_fract_x
_atom_site_fract_y
_atom_site_fract_z
Rb1 Rb 0.0947 0.7500 0.1250
Sr1 Sr 0.0000 0.0000 0.5000
S1 S 0.0000 0.0000 0.0000
# Fermi-level density of states ... 0.501 states/eV/atom
# Formation energy (no corrections) ... -0.68 eV/atom
# E ... -10.5 eV per formula unit



9.
# Rb3SrS (PBE, optimized geometry)
data_Rb3SrS
_symmetry_space_group_name_H-M 'P m -3 m'
_symmetry_Int_Tables_number 221
_symmetry_space_group_name_Hall '-P 4 2 3'
_cell_length_a 6.6415
_cell_length_b 6.6415
_cell_length_c 6.6415
_cell_angle_alpha 90.00
_cell_angle_beta 90.00
_cell_angle_gamma 90.00
loop_
_atom_site_label
_atom_site_type_symbol
_atom_site_fract_x
_atom_site_fract_y
_atom_site_fract_z
Rb1 Rb 0.0000 0.0000 0.5000
Sr1 Sr 0.5000 0.5000 0.5000
S1 S 0.0000 0.0000 0.0000
# Fermi-level density of states ... 0.985 states/eV/atom
# E above lowest polymorph ... 0 meV per atom
# Formation energy (no corrections) ... -0.35 eV/atom
# E ... -10.4 eV per formula unit



10.
# RbSrTaS4 (PBE, optimized geometry)
data_RbSrTaS4
_symmetry_space_group_name_H-M 'P 1 21/m 1'
_symmetry_Int_Tables_number 11
_symmetry_space_group_name_Hall '-P 2yb'
_cell_length_a 7.0918
_cell_length_b 7.0430
_cell_length_c 9.2017
_cell_angle_alpha 90.00
_cell_angle_beta 106.99
_cell_angle_gamma 90.00
loop_
_atom_site_label
_atom_site_type_symbol
_atom_site_fract_x
_atom_site_fract_y
_atom_site_fract_z
Rb1 Rb 0.2233 0.2500 0.4334
Sr1 Sr 0.2720 0.2500 0.9492
Ta1 Ta 0.2785 0.7500 0.1787
S1 S 0.0810 0.7500 0.3354
S2 S 0.0900 0.7500 0.9323
S3 S 0.4890 0.0039 0.2198
# Fermi-level density of states ... 0.000 states/eV/atom
# Formation energy (no corrections) ... -1.46 eV/atom
# E ... -41.2 eV per formula unit



11.
# RbSr2TaS (PBE, optimized geometry)
data_RbSr2TaS
_symmetry_space_group_name_H-M 'P 4/m m m'
_symmetry_Int_Tables_number 123
_symmetry_space_group_name_Hall '-P 4 2'
_cell_length_a 6.0629
_cell_length_b 6.0629
_cell_length_c 6.2662
_cell_angle_alpha 90.00
_cell_angle_beta 90.00
_cell_angle_gamma 90.00
loop_
_atom_site_label
_atom_site_type_symbol
_atom_site_fract_x
_atom_site_fract_y
_atom_site_fract_z
Rb1 Rb 0.0000 0.0000 0.0000
Sr1 Sr 0.0000 0.5000 0.5000
Ta1 Ta 0.0000 0.0000 0.5000
S1 S 0.5000 0.5000 0.0000
# Fermi-level density of states ... 0.735 states/eV/atom
# Formation energy (no corrections) ... 1.06 eV/atom
# E ... -15.0 eV per formula unit